1.
Rb2SrZnF6 | PBE | optimized geometry

a = 6.315 Å, b = 6.315 Å, c = 6.316 Å
α = 60.00°, β = 60.00°, γ = 90.00°
Fractional coordinates of all 10 atoms:
F 0.267 0.267 0.000
F 0.733 0.733 0.000
F 0.267 0.733 0.000
F 0.267 0.267 0.465
F 0.733 0.267 0.000
F 0.733 0.733 0.535
Rb 0.250 0.750 0.500
Rb 0.750 0.250 0.500
Zn 0.500 0.500 0.000
Sr 0.000 0.000 0.000

Properties
Total energy, Ry per atom: -0.3373
Volume, Å³/atom: 17.81
Formation energy without anion corrections, eV per atom: -2.9769

2.
RbSrZnF6 | PBE | optimized geometry

a = 7.918 Å, b = 7.798 Å, c = 7.496 Å
α = 121.34°, β = 121.88°, γ = 90.00°
Last column: magnetic moment on the atom in μB.
Fractional coordinates of all 18 atoms:
Sr 0.000 0.000 0.500  0.00
Sr 0.500 0.000 0.500  0.00
F 0.806 0.169 0.266  0.17
F 0.574 0.824 0.149  0.05
F 0.880 0.130 0.761  0.09
F 0.460 0.596 0.266  0.17
F 0.120 0.870 0.239  0.09
F 0.460 0.169 0.266  0.17
F 0.540 0.404 0.734  0.17
F 0.540 0.831 0.734  0.17
F 0.194 0.404 0.734  0.17
F 0.426 0.176 0.851  0.05
F 0.194 0.831 0.734  0.17
F 0.806 0.596 0.266  0.17
Rb 0.845 0.595 0.689  0.00
Rb 0.155 0.405 0.311  0.00
Zn 0.500 0.500 0.000  0.22
Zn 0.500 0.000 0.000  0.22

Properties
Total energy, Ry per atom: -0.3241
Volume, Å³/atom: 17.26
Formation energy without anion corrections, eV per atom: -2.7266

Q: What is the total energy in the first record?
A: -0.3373 Ry per atom